Run A
VASP calculation (PBE-GGA) on a geometry-optimized La8PmDy2 structure.

abc: 6.1118 9.2877 9.6337
angles: 61.18 74.23 55.69
Fractional positions:
La: 0.8151 0.0962 0.2399
La: 0.8151 0.3362 0.7601
La: 0.2985 0.4213 0.0000
La: 0.5000 0.7946 0.4109
La: 0.5000 0.2054 0.5891
La: 0.7015 0.5787 0.0000
La: 0.1849 0.6638 0.2399
La: 0.1849 0.9038 0.7601
Pm: 0.5000 0.0000 0.0000
Dy: 0.0000 0.3110 0.3779
Dy: 0.0000 0.6890 0.6221

Output
Fermi-level density of states: 16.36 states/eV per cell
Spin magnetization: 0.00 Bohr magnetons per cell

---

Run B
VASP calculation (PBE-GGA) on a geometry-optimized La8PmDy2 structure.

abc: 5.2492 8.2530 9.7313
angles: 104.76 105.65 90.00
Fractional positions:
La: 0.5922 0.4547 0.1845
La: 0.3178 0.0877 0.6355
La: 0.1381 0.1866 0.2762
La: 0.0468 0.7261 0.0936
La: 0.8619 0.8134 0.7238
La: 0.6822 0.9123 0.3645
La: 0.4078 0.5453 0.8155
La: 0.9532 0.2739 0.9064
Pm: 0.5000 0.0000 0.0000
Dy: 0.2267 0.6343 0.4533
Dy: 0.7733 0.3657 0.5467

Output
Fermi-level density of states: 20.15 states/eV per cell
Spin magnetization: 0.00 Bohr magnetons per cell

---

Which structure loses on stability? run A does.

---

Run A
VASP calculation (PBE-GGA) on a geometry-optimized LaPm2Dy5 structure.

abc: 3.5769 11.2307 8.8505
angles: 129.38 101.60 90.00
Fractional positions:
La: 0.0000 0.0000 0.0000
Pm: 0.2560 0.7568 0.5137
Pm: 0.7440 0.2432 0.4863
Dy: 0.0000 0.5000 0.0000
Dy: 0.6327 0.4032 0.2650
Dy: 0.3673 0.5968 0.7350
Dy: 0.6327 0.8618 0.2650
Dy: 0.3673 0.1382 0.7350

Output
Fermi-level density of states: 10.58 states/eV per cell
Spin magnetization: 0.00 Bohr magnetons per cell

---

Run B
VASP calculation (PBE-GGA) on a geometry-optimized LaPm2Dy5 structure.

abc: 5.0883 7.1903 14.3953
angles: 90.00 90.00 90.00
Fractional positions:
La: 0.0000 0.0000 0.5000
La: 0.0000 0.5000 0.0000
Pm: 0.5000 0.2533 0.6263
Pm: 0.5000 0.7467 0.3737
Pm: 0.5000 0.2467 0.1263
Pm: 0.5000 0.7533 0.8737
Dy: 0.0000 0.0000 0.0000
Dy: 0.0000 0.5000 0.5000
Dy: 0.0000 0.5035 0.7479
Dy: 0.0000 0.4965 0.2521
Dy: 0.0000 0.9965 0.2479
Dy: 0.0000 0.0035 0.7521
Dy: 0.5000 0.2519 0.8738
Dy: 0.5000 0.7481 0.1262
Dy: 0.5000 0.2481 0.3738
Dy: 0.5000 0.7519 0.6262

Output
Fermi-level density of states: 22.90 states/eV per cell
Spin magnetization: 0.00 Bohr magnetons per cell

---

Which structure loses on stability? run A does.

---

Run A
VASP calculation (PBE-GGA) on a geometry-optimized LaPmDy5 structure.

abc: 6.8229 6.8229 13.8503
angles: 61.16 61.16 60.57
Fractional positions:
La: 0.7242 0.2758 0.7500
La: 0.2758 0.7242 0.2500
Pm: 0.0000 0.0000 0.0000
Pm: 0.0000 0.0000 0.5000
Dy: 0.1686 0.3952 0.7480
Dy: 0.6395 0.6994 0.5009
Dy: 0.3952 0.1686 0.2480
Dy: 0.1600 0.8400 0.7500
Dy: 0.3006 0.3605 0.9991
Dy: 0.6994 0.6395 0.0009
Dy: 0.8400 0.1600 0.2500
Dy: 0.6048 0.8314 0.7520
Dy: 0.3605 0.3006 0.4991
Dy: 0.8314 0.6048 0.2520

Output
Fermi-level density of states: 19.27 states/eV per cell
Spin magnetization: 0.00 Bohr magnetons per cell

---

Run B
VASP calculation (PBE-GGA) on a geometry-optimized LaPmDy5 structure.

abc: 5.7734 7.8785 7.8785
angles: 66.63 68.51 68.51
Fractional positions:
La: 0.0000 0.0000 0.0000
Pm: 0.5000 0.5000 0.5000
Dy: 0.5000 0.1799 0.8201
Dy: 0.5000 0.8201 0.1799
Dy: 0.7476 0.2524 0.2524
Dy: 0.2524 0.7476 0.7476
Dy: 0.0000 0.5000 0.5000

Output
Fermi-level density of states: 11.02 states/eV per cell
Spin magnetization: 0.01 Bohr magnetons per cell

---

Which structure loses on stability? run B does.

---

Run A
VASP calculation (PBE-GGA) on a geometry-optimized La7Pm4Dy structure.

abc: 6.1539 9.9392 8.8703
angles: 60.45 69.70 71.97
Fractional positions:
La: 0.7944 0.8745 0.5368
La: 0.2056 0.1255 0.4632
La: 0.0817 0.5667 0.2699
La: 0.9183 0.4333 0.7301
La: 0.2073 0.7816 0.8038
La: 0.5000 0.0000 0.0000
La: 0.7927 0.2184 0.1962
Pm: 0.5733 0.3001 0.5532
Pm: 0.4267 0.6999 0.4468
Pm: 0.6724 0.6059 0.0493
Pm: 0.3276 0.3941 0.9507
Dy: 0.0000 0.0000 0.0000

Output
Fermi-level density of states: 20.50 states/eV per cell
Spin magnetization: 0.45 Bohr magnetons per cell

---

Run B
VASP calculation (PBE-GGA) on a geometry-optimized La7Pm4Dy structure.

abc: 7.4390 6.4562 11.8183
angles: 79.50 51.12 90.00
Fractional positions:
La: 0.7511 0.5001 0.0009
La: 0.2489 0.4999 0.9991
La: 0.0810 0.2789 0.6685
La: 0.9190 0.7211 0.3315
La: 0.3314 0.7785 0.6676
La: 0.5000 0.0000 0.0000
La: 0.6686 0.2215 0.3324
Pm: 0.4207 0.7245 0.3290
Pm: 0.5793 0.2755 0.6710
Pm: 0.8322 0.7761 0.6676
Pm: 0.1678 0.2239 0.3324
Dy: 0.0000 0.0000 0.0000

Output
Fermi-level density of states: 18.65 states/eV per cell
Spin magnetization: 0.00 Bohr magnetons per cell

---

Which structure loses on stability? run A does.

---

Run A
VASP calculation (PBE-GGA) on a geometry-optimized LaPm7Dy3 structure.

abc: 6.4682 7.7952 7.7978
angles: 81.37 85.57 85.59
Fractional positions:
La: 0.5000 0.5000 0.5000
Pm: 0.7898 0.2348 0.2348
Pm: 0.7407 0.9267 0.5764
Pm: 0.2593 0.4237 0.0734
Pm: 0.7407 0.5763 0.9266
Pm: 0.0000 0.5000 0.5000
Pm: 0.2593 0.0733 0.4236
Pm: 0.2102 0.7652 0.7652
Dy: 0.9999 0.8303 0.1696
Dy: 0.5000 0.0000 0.0000
Dy: 0.0001 0.1697 0.8304

Output
Fermi-level density of states: 14.99 states/eV per cell
Spin magnetization: 0.00 Bohr magnetons per cell

---

Run B
VASP calculation (PBE-GGA) on a geometry-optimized LaPm7Dy3 structure.

abc: 8.7035 7.2166 7.2166
angles: 120.00 90.00 90.00
Fractional positions:
La: 0.4423 0.3333 0.6667
Pm: 0.1100 0.1671 0.8329
Pm: 0.1100 0.1671 0.3341
Pm: 0.1225 0.6667 0.3333
Pm: 0.4558 0.8327 0.1673
Pm: 0.4558 0.3346 0.1673
Pm: 0.4558 0.8327 0.6654
Pm: 0.1100 0.6659 0.8329
Dy: 0.7843 0.5005 0.4995
Dy: 0.7843 0.5005 0.0010
Dy: 0.7843 0.9990 0.4995

Output
Fermi-level density of states: 17.49 states/eV per cell
Spin magnetization: 0.00 Bohr magnetons per cell

---

Which structure loses on stability? run A does.

---

Run A
VASP calculation (PBE-GGA) on a geometry-optimized LaPm3Dy structure.

abc: 3.6401 8.7193 11.9357
angles: 90.00 90.00 102.01
Fractional positions:
La: 0.3065 0.1112 0.2500
La: 0.6935 0.8888 0.7500
Pm: 0.8501 0.2024 0.9988
Pm: 0.1499 0.7976 0.0012
Pm: 0.8501 0.2024 0.5012
Pm: 0.1499 0.7976 0.4988
Pm: 0.6411 0.7779 0.2500
Pm: 0.3589 0.2221 0.7500
Dy: 0.9793 0.4520 0.2500
Dy: 0.0207 0.5480 0.7500

Output
Fermi-level density of states: 17.75 states/eV per cell
Spin magnetization: 0.00 Bohr magnetons per cell

---

Run B
VASP calculation (PBE-GGA) on a geometry-optimized LaPm3Dy structure.

abc: 6.8651 6.0674 9.4911
angles: 108.57 111.20 90.00
Fractional positions:
La: 0.0000 0.5000 0.0000
La: 0.0000 0.0000 0.0000
Pm: 0.7719 0.5227 0.5438
Pm: 0.5798 0.0965 0.6930
Pm: 0.2281 0.4773 0.4562
Pm: 0.1132 0.0965 0.6930
Pm: 0.4202 0.9035 0.3070
Pm: 0.8868 0.9035 0.3070
Dy: 0.4497 0.6997 0.8995
Dy: 0.5503 0.3003 0.1005

Output
Fermi-level density of states: 15.51 states/eV per cell
Spin magnetization: 0.00 Bohr magnetons per cell

---

Which structure loses on stability? run A does.

---

Run A
VASP calculation (PBE-GGA) on a geometry-optimized La2PmDy7 structure.

abc: 3.5178 14.9150 14.9151
angles: 154.45 90.00 90.00
Fractional positions:
La: 0.5000 0.7057 0.2943
La: 0.5000 0.2943 0.7057
Pm: 0.0000 0.0000 0.0000
Dy: 0.0000 0.8153 0.1847
Dy: 0.0000 0.1847 0.8153
Dy: 0.5000 0.1479 0.3439
Dy: 0.5000 0.8521 0.6561
Dy: 0.5000 0.3439 0.1479
Dy: 0.5000 0.6561 0.8521
Dy: 0.5000 0.5000 0.5000

Output
Fermi-level density of states: 18.31 states/eV per cell
Spin magnetization: 0.00 Bohr magnetons per cell

---

Run B
VASP calculation (PBE-GGA) on a geometry-optimized La2PmDy7 structure.

abc: 5.0948 8.7974 9.5272
angles: 108.30 74.49 125.24
Fractional positions:
La: 0.4036 0.6016 0.3960
La: 0.5964 0.3984 0.6040
Pm: 0.0000 0.0000 0.0000
Dy: 0.0996 0.9007 0.6020
Dy: 0.9004 0.0993 0.3980
Dy: 0.2995 0.7014 0.8035
Dy: 0.7005 0.2986 0.1965
Dy: 0.2032 0.8026 0.1989
Dy: 0.7968 0.1974 0.8011
Dy: 0.5000 0.5000 0.0000

Output
Fermi-level density of states: 14.46 states/eV per cell
Spin magnetization: 0.00 Bohr magnetons per cell

---

Which structure loses on stability? run A does.

---

Run A
VASP calculation (PBE-GGA) on a geometry-optimized La5PmDy3 structure.

abc: 8.8015 8.8015 10.3075
angles: 115.27 115.27 90.00
Fractional positions:
La: 0.0578 0.5578 0.7200
La: 0.6622 0.1622 0.7200
La: 0.1622 0.0578 0.7200
La: 0.5578 0.6622 0.7200
La: 0.9422 0.4422 0.2800
La: 0.3378 0.8378 0.2800
La: 0.8378 0.9422 0.2800
La: 0.4422 0.3378 0.2800
La: 0.5000 0.5000 0.0000
La: 0.0000 0.0000 0.0000
Pm: 0.7500 0.2500 0.5000
Pm: 0.2500 0.7500 0.5000
Dy: 0.6205 0.1205 0.0000
Dy: 0.3795 0.8795 0.0000
Dy: 0.8795 0.6205 0.0000
Dy: 0.1205 0.3795 0.0000
Dy: 0.2500 0.2500 0.5000
Dy: 0.7500 0.7500 0.5000

Output
Fermi-level density of states: 33.96 states/eV per cell
Spin magnetization: 0.00 Bohr magnetons per cell

---

Run B
VASP calculation (PBE-GGA) on a geometry-optimized La5PmDy3 structure.

abc: 6.5984 11.8590 11.4921
angles: 128.97 90.00 106.15
Fractional positions:
La: 0.4050 0.0000 0.7500
La: 0.6543 0.6595 0.0200
La: 0.8647 0.3368 0.1237
La: 0.3457 0.3405 0.9800
La: 0.5278 0.6632 0.3763
La: 0.5950 0.0000 0.2500
La: 0.0051 0.6595 0.5200
La: 0.9949 0.3405 0.4800
La: 0.4722 0.3368 0.6237
La: 0.1353 0.6632 0.8763
Pm: 0.8653 0.0000 0.7500
Pm: 0.1347 0.0000 0.2500
Dy: 0.0000 0.0000 0.0000
Dy: 0.4516 0.3201 0.3054
Dy: 0.0000 0.0000 0.5000
Dy: 0.5484 0.6799 0.6946
Dy: 0.8685 0.3201 0.8054
Dy: 0.1315 0.6799 0.1946

Output
Fermi-level density of states: 27.99 states/eV per cell
Spin magnetization: 0.00 Bohr magnetons per cell

---

Which structure loses on stability? run A does.